Y3MgGa2 PBE-GGA relaxed; DFT total energy = -4.947 eV per atom; space group = P4/mmm (123)
1.0
3.641 0.000 0.000
0.000 3.641 0.000
0.000 0.000 10.998
Y Mg Ga
3 1 2
direct
0.000 0.000 0.000 Y
0.000 0.000 0.319 Y
0.000 0.000 0.681 Y
0.500 0.500 0.500 Mg
0.500 0.500 0.166 Ga
0.500 0.500 0.834 Ga



Er7TmMg4 PBE-GGA relaxed; DFT total energy = -3.375 eV per atom; space group = C2/m (12)
1.0
7.459 -2.849 0.000
7.459 2.849 0.000
-5.019 0.000 8.157
Er Tm Mg
7 1 4
direct
0.000 0.000 0.000 Er
0.251 0.251 0.713 Er
0.297 0.297 0.121 Er
0.421 0.421 0.575 Er
0.579 0.579 0.425 Er
0.703 0.703 0.879 Er
0.749 0.749 0.287 Er
0.500 0.500 0.000 Tm
0.043 0.043 0.698 Mg
0.175 0.175 0.346 Mg
0.825 0.825 0.654 Mg
0.957 0.957 0.302 Mg



IrSeI2O PBE-GGA relaxed; DFT total energy = -3.163 eV per atom; E above lowest polymorph = 0.6916 eV per atom; space group = P4/mmm (123); formation energy from raw total energies = 0.9173 eV per atom
1.0
5.604 0.000 0.000
0.000 5.604 0.000
0.000 0.000 3.683
Ir Se I O
1 1 2 1
direct
0.000 0.000 0.000 Ir
0.500 0.500 0.500 Se
0.000 0.500 0.500 I
0.500 0.000 0.500 I
0.500 0.500 0.000 O



K5TlCd4 PBE-GGA relaxed; DFT total energy = -1.190 eV per atom; space group = C2/m (12)
1.0
10.897 -2.372 0.000
10.897 2.372 0.000
-3.246 0.000 8.850
K Tl Cd
5 1 4
direct
0.000 0.000 0.000 K
0.305 0.305 0.894 K
0.356 0.356 0.489 K
0.644 0.644 0.511 K
0.695 0.695 0.106 K
0.000 0.000 0.500 Tl
0.127 0.127 0.808 Cd
0.462 0.462 0.269 Cd
0.538 0.538 0.731 Cd
0.873 0.873 0.192 Cd



AlTlPt2 PBE-GGA relaxed; DFT total energy = -4.800 eV per atom; E above lowest polymorph = 0.2751 eV per atom; space group = Fm-3m (225)
1.0
0.000 3.257 3.257
3.257 0.000 3.257
3.257 3.257 0.000
Al Tl Pt
1 1 2
direct
0.000 0.000 0.000 Al
0.500 0.500 0.500 Tl
0.250 0.250 0.250 Pt
0.750 0.750 0.750 Pt



Tb6Tm19Sc4 PBE-GGA relaxed; DFT total energy = -4.379 eV per atom; space group = I23 (197)
1.0
-6.086 6.086 6.086
6.086 -6.086 6.086
6.086 6.086 -6.086
Tb Tm Sc
6 19 4
direct
0.129 0.500 0.629 Tb
0.371 0.871 0.500 Tb
0.500 0.371 0.871 Tb
0.500 0.629 0.129 Tb
0.629 0.129 0.500 Tb
0.871 0.500 0.371 Tb
0.000 0.000 0.000 Tm
0.000 0.259 0.259 Tm
0.000 0.741 0.741 Tm
0.018 0.211 0.676 Tm
0.192 0.982 0.657 Tm
0.211 0.676 0.018 Tm
0.259 0.000 0.259 Tm
0.259 0.259 0.000 Tm
0.324 0.535 0.343 Tm
0.343 0.324 0.535 Tm
0.465 0.789 0.808 Tm
0.535 0.343 0.324 Tm
0.657 0.192 0.982 Tm
0.676 0.018 0.211 Tm
0.741 0.000 0.741 Tm
0.741 0.741 0.000 Tm
0.789 0.808 0.465 Tm
0.808 0.465 0.789 Tm
0.982 0.657 0.192 Tm
0.000 0.000 0.355 Sc
0.000 0.355 0.000 Sc
0.355 0.000 0.000 Sc
0.645 0.645 0.645 Sc



| no. | Fermi-level density of states (states/eV per cell) |
| --- | --- |
| 1 | 4.0 |
| 2 | 15.6 |
| 3 | 3.6 |
| 4 | 5.9 |
| 5 | 1.5 |
| 6 | 46.2 |